# 1
Compound: HfAg2Pt
Source: OQMD via LeMat-Bulk
Functional: PBE
Structure: optimized geometry

```
HfAg2Pt
1.0
0.000 3.280 3.280
3.280 0.000 3.280
3.280 3.280 0.000
Ag Hf Pt
2 1 1
Direct
0.000 0.000 0.000
0.750 0.750 0.750
0.250 0.250 0.250
0.500 0.500 0.500
```

Values from the calculation:
Calculated volume   17.6 Å³ per atom
Symmetry   F-43m (216)
Mass density   13.9 g/cm3
Formation energy from the elements   -1.4 eV/f.u.



# 2
Compound: NaLuPtSe3
Source: OQMD via LeMat-Bulk
Functional: PBE
Structure: optimized geometry

```
NaLuPtSe3
1.0
1.955 -7.311 0.000
1.955 7.311 0.000
0.000 0.000 10.046
Lu Na Pt Se
2 2 2 6
Direct
0.500 0.500 0.000
0.500 0.500 0.500
0.271 0.729 0.250
0.729 0.271 0.750
0.989 0.011 0.250
0.011 0.989 0.750
0.869 0.131 0.071
0.598 0.402 0.250
0.869 0.131 0.429
0.131 0.869 0.571
0.402 0.598 0.750
0.131 0.869 0.929
```

Values from the calculation:
Calculated volume   23.9 Å³ per atom
Symmetry   Cmcm (63)
Mass density   7.3 g/cm3
Electronic total energy   -4.771 eV per atom



# 3
Compound: HoMg
Source: OQMD via LeMat-Bulk
Functional: PBE
Structure: optimized geometry

```
HoMg
1.0
0.000 3.107 3.107
3.107 0.000 3.107
3.107 3.107 0.000
Ho Mg
1 1
Direct
0.000 0.000 0.000
0.500 0.500 0.500
```

Values from the calculation:
Calculated volume   30.0 Å³ per atom
Symmetry   Fm-3m (225)
Mass density   5.2 g/cm3
Electronic total energy   -2.648 eV per atom



Q: Which formula does entry 3 have?
A: HoMg



Q: Which value of calculated volume does entry 1 give?
A: 17.6 Å³ per atom